1.
DFT (GGA-PBE) results for a geometry-optimized LiPmIn4Ag2 structure.

Cell lengths 9.2690, 9.2690, 9.2690 Å; angles 30.26, 30.26, 30.26 degrees
With the nearest neighbours (Å) after each atom.
Element x y z (fractional)
Li (0.0000, 0.0000, 0.0000)  8 In 2.92-2.98
Pm (0.5000, 0.5000, 0.5000)  8 In 3.17-3.40
In (0.1101, 0.1101, 0.1101)  1 Li 2.92, 3 Ag 2.93, 3 Pm 3.17
In (0.3719, 0.3719, 0.3719)  4 Ag 2.97-3.05, 3 Li 2.98
In (0.6281, 0.6281, 0.6281)  4 Ag 2.97-3.05, 3 Li 2.98
In (0.8899, 0.8899, 0.8899)  1 Li 2.92, 3 Ag 2.93, 3 Pm 3.17
Ag (0.2570, 0.2570, 0.2570)  7 In 2.93-3.05
Ag (0.7430, 0.7430, 0.7430)  7 In 2.93-3.05



2.
DFT (GGA-PBE) results for a geometry-optimized LuHgGe structure.

Cell lengths 4.4055, 4.4055, 4.0456 Å; angles 90.00, 90.00, 120.00 degrees
With the nearest neighbours (Å) after each atom.
Element x y z (fractional)
Lu (0.0000, 0.0000, 0.0000)  3 Ge 2.94, 3 Hg 3.02
Hg (0.6667, 0.3333, 0.5997)  3 Ge 2.72, 3 Lu 3.02
Ge (0.3333, 0.6667, 0.3622)  3 Hg 2.72, 3 Lu 2.94



Number 1: ΔE_f -0.234 eV/atom. Number 2: ΔE_f -0.363 eV/atom.